Record 1
Material: Y4HgPbC
Method: DFT, PBE
State: relaxed

Calculated values
ΔE_f = -0.459 eV/atom
density of states at the Fermi level = 3.16 states/eV/f.u.
space group = Cmcm (63)

a b c (Å): 6.951 6.935 8.397
angles (deg): 90.00 114.45 90.00
Fractional positions:
Y 0.917 0.250 0.835
Y 0.410 0.750 0.820
Y 0.083 0.750 0.165
Y 0.590 0.250 0.180
Y 0.500 0.500 0.500
Y 0.000 0.000 0.500
Y 0.500 0.000 0.500
Y 0.000 0.500 0.500
Hg 0.117 0.250 0.233
Hg 0.883 0.750 0.767
Pb 0.614 0.750 0.228
Pb 0.386 0.250 0.772
C 0.249 0.750 0.498
C 0.751 0.250 0.502

=====

Record 2
Material: Hg2PdC
Method: DFT, PBE
State: relaxed

Calculated values
ΔE_f = 1.276 eV/atom
density of states at the Fermi level = 1.77 states/eV/f.u.
space group = I-42d (122)

a b c (Å): 5.409 5.409 7.218
angles (deg): 68.00 68.00 90.00
Fractional positions:
C 0.500 0.500 0.000
C 0.250 0.750 0.500
Hg 0.506 0.125 0.250
Hg 0.244 0.625 0.250
Hg 0.375 0.494 0.750
Hg 0.875 0.756 0.750
Pd 0.000 0.000 0.000
Pd 0.750 0.250 0.500

=====

Record 3
Material: HgPd3C
Method: DFT, PBE
State: relaxed

Calculated values
relative energy among the computed polymorphs = 0.000 eV per atom
ΔE_f = 0.162 eV/atom
density of states at the Fermi level = 4.84 states/eV/f.u.
space group = Pm-3m (221)

a b c (Å): 4.211 4.211 4.211
angles (deg): 90.00 90.00 90.00
Fractional positions:
C 0.000 0.000 0.000
Hg 0.500 0.500 0.500
Pd 0.000 0.500 0.000
Pd 0.000 0.000 0.500
Pd 0.500 0.000 0.000

=====

Record 4
Material: HgPdC3
Method: DFT, PBE
State: relaxed

Calculated values
relative energy among the computed polymorphs = 0.000 eV per atom
ΔE_f = 2.682 eV/atom
density of states at the Fermi level = 0.87 states/eV/f.u.
space group = Pm-3m (221)

a b c (Å): 4.116 4.116 4.116
angles (deg): 90.00 90.00 90.00
Fractional positions:
C 0.000 0.500 0.000
C 0.000 0.000 0.500
C 0.500 0.000 0.000
Hg 0.500 0.500 0.500
Pd 0.000 0.000 0.000

=====

Record 5
Material: HgPd2C
Method: DFT, PBE
State: relaxed

Calculated values
relative energy among the computed polymorphs = 0.000 eV per atom
ΔE_f = 0.502 eV/atom
density of states at the Fermi level = 1.29 states/eV/f.u.
space group = I-42d (122)

a b c (Å): 6.545 6.545 5.540
angles (deg): 53.79 53.79 90.00
Fractional positions:
C 0.500 0.500 0.000
C 0.250 0.750 0.500
Hg 0.000 0.000 0.000
Hg 0.750 0.250 0.500
Pd 0.507 0.125 0.250
Pd 0.243 0.625 0.250
Pd 0.375 0.493 0.750
Pd 0.875 0.757 0.750

=====

Record 6
Material: HgPdC2
Method: DFT, PBE
State: relaxed

Calculated values
ΔE_f = 1.736 eV/atom
density of states at the Fermi level = 2.35 states/eV/f.u.
space group = I-42d (122)

a b c (Å): 5.035 5.035 6.015
angles (deg): 65.26 65.26 90.00
Fractional positions:
C 0.572 0.125 0.250
C 0.178 0.625 0.250
C 0.375 0.428 0.750
C 0.875 0.822 0.750
Hg 0.000 0.000 0.000
Hg 0.750 0.250 0.500
Pd 0.500 0.500 0.000
Pd 0.250 0.750 0.500

=====

Record 7
Material: HgPdC3
Method: DFT, PBE
State: relaxed

Calculated values
relative energy among the computed polymorphs = 0.837 eV per atom
ΔE_f = 3.518 eV/atom
density of states at the Fermi level = 2.34 states/eV/f.u.
space group = Pm-3m (221)

a b c (Å): 4.264 4.264 4.264
angles (deg): 90.00 90.00 90.00
Fractional positions:
C 0.000 0.500 0.000
C 0.000 0.000 0.500
C 0.500 0.000 0.000
Hg 0.000 0.000 0.000
Pd 0.500 0.500 0.500

=====

Record 8
Material: HgPd3C
Method: DFT, PBE
State: relaxed

Calculated values
relative energy among the computed polymorphs = 2.156 eV per atom
ΔE_f = 2.318 eV/atom
density of states at the Fermi level = 4.23 states/eV/f.u.
space group = Pm-3m (221)

a b c (Å): 5.104 5.104 5.104
angles (deg): 90.00 90.00 90.00
Each line ends with the local moment (μB).
Fractional positions:
C 0.500 0.500 0.500  0.83
Hg 0.000 0.000 0.000  0.01
Pd 0.000 0.500 0.000  0.07
Pd 0.000 0.000 0.500  -0.04
Pd 0.500 0.000 0.000  0.11

=====

Record 9
Material: HgPd2C
Method: DFT, PBE
State: relaxed

Calculated values
relative energy among the computed polymorphs = 0.737 eV per atom
ΔE_f = 1.239 eV/atom
density of states at the Fermi level = 3.69 states/eV/f.u.
space group = Fm-3m (225)

a b c (Å): 4.425 4.425 4.425
angles (deg): 60.00 60.00 60.00
Fractional positions:
C 0.000 0.000 0.000
Hg 0.500 0.500 0.500
Pd 0.250 0.250 0.250
Pd 0.750 0.750 0.750

=====

Record 10
Material: HgPdPt2C
Method: DFT, PBE
State: relaxed

Calculated values
ΔE_f = 0.262 eV/atom
density of states at the Fermi level = 4.41 states/eV/f.u.
space group = P4/mmm (123)

a b c (Å): 4.169 4.169 4.388
angles (deg): 90.00 90.00 90.00
Fractional positions:
C 0.000 0.000 0.000
Pd 0.000 0.000 0.500
Hg 0.500 0.500 0.500
Pt 0.000 0.500 0.000
Pt 0.500 0.000 0.000

=====

Record 11
Material: Sc2HgPdC
Method: DFT, PBE
State: relaxed

Calculated values
ΔE_f = -0.442 eV/atom
density of states at the Fermi level = 3.90 states/eV/f.u.
space group = P4/mmm (123)

a b c (Å): 4.540 4.540 4.168
angles (deg): 90.00 90.00 90.00
Fractional positions:
Sc 0.000 0.500 0.000
Sc 0.500 0.000 0.000
C 0.000 0.000 0.000
Hg 0.500 0.500 0.500
Pd 0.000 0.000 0.500

=====

Record 12
Material: TaHgPdC2
Method: DFT, PBE
State: relaxed

Calculated values
ΔE_f = 1.422 eV/atom
density of states at the Fermi level = 3.70 states/eV/f.u.
space group = P4/mmm (123)

a b c (Å): 4.102 5.460 4.102
angles (deg): 90.00 90.00 90.00
Fractional positions:
C 0.000 0.000 0.500
C 0.500 0.000 0.000
Hg 0.500 0.500 0.500
Pd 0.000 0.500 0.000
Ta 0.000 0.000 0.000

=====

Question: Which of these has the lowest density of states at the Fermi level?
Answer: number 4

=====

Question: ΔE_f of number 3 (HgPd3C)?
Answer: 0.162 eV/atom

=====

Question: The lowest density of states at the Fermi level belongs to which entry?
Answer: number 4

=====

Copy entry 1 word for word.
Material: Y4HgPbC
Method: DFT, PBE
State: relaxed

Calculated values
ΔE_f = -0.459 eV/atom
density of states at the Fermi level = 3.16 states/eV/f.u.
space group = Cmcm (63)

a b c (Å): 6.951 6.935 8.397
angles (deg): 90.00 114.45 90.00
Fractional positions:
Y 0.917 0.250 0.835
Y 0.410 0.750 0.820
Y 0.083 0.750 0.165
Y 0.590 0.250 0.180
Y 0.500 0.500 0.500
Y 0.000 0.000 0.500
Y 0.500 0.000 0.500
Y 0.000 0.500 0.500
Hg 0.117 0.250 0.233
Hg 0.883 0.750 0.767
Pb 0.614 0.750 0.228
Pb 0.386 0.250 0.772
C 0.249 0.750 0.498
C 0.751 0.250 0.502